Entry 1:
Entry from the Alexandria database: crystalline Ag2Au2Se at its relaxed geometry (PBE-GGA).

Density of states at the Fermi level = 1.25 states/eV/cell
E_form (uncorrected) = 0.1645 eV per atom

Unit cell a=7.0914 b=7.0914 c=3.9598 alpha=90.00 beta=90.00 gamma=90.00
With the nearest neighbours (Å) after each atom.
Space group P4/mbm (No. 127)
Symmetry-distinct sites (fractional):
Ag (0.1510, 0.3490, 0.0000) [4 per cell]  2 Se 2.70, 6 Au 2.86-2.87
Au (0.1427, 0.6427, 0.5000) [4 per cell]  1 Au 2.86, 6 Ag 2.86-2.87
Se (0.0000, 0.0000, 0.0000) [2 per cell]  4 Ag 2.70

***

Entry 2:
Entry from the Alexandria database: crystalline TmMg4Ga2 at its relaxed geometry (PBE-GGA).

Density of states at the Fermi level = 6.39 states/eV/cell
Energy of formation = -0.214 eV per atom

Unit cell a=4.3118 b=16.4533 c=4.2654 alpha=90.00 beta=90.00 gamma=90.00
With the nearest neighbours (Å) after each atom.
Space group Cmmm (No. 65)
Symmetry-distinct sites (fractional):
Tm (0.0000, 0.0000, 0.0000) [2 per cell]  8 Ga 3.26, 8 Mg 3.60-3.64
Mg (0.0000, 0.1762, 0.5000) [4 per cell]  2 Ga 2.74, 4 Mg 3.03
Mg (0.0000, 0.3216, 0.0000) [4 per cell]  2 Ga 2.74, 4 Mg 3.03
Ga (0.0000, 0.4266, 0.5000) [4 per cell]  1 Ga 2.41

***

Entry 3:
Entry from the Alexandria database: crystalline Ca2TlTc at its relaxed geometry (PBE-GGA).

Density of states at the Fermi level = 8.75 states/eV/cell
Energy of formation = 0.410 eV per atom

Unit cell a=3.4124 b=3.4124 c=30.1680 alpha=90.00 beta=90.00 gamma=120.00
With the nearest neighbours (Å) after each atom.
Space group R-3m (No. 166, hexagonal axes)
Symmetry-distinct sites (fractional):
Ca (0.0000, 0.0000, 0.2407) [6 per cell]  3 Tc 2.98
Tl (0.0000, 0.0000, 0.0000) [3 per cell]  6 Tl 3.41, 6 Ca 3.42
Tc (0.0000, 0.0000, 0.5000) [3 per cell]  6 Ca 2.98

***

Entry 4:
Entry from the Alexandria database: crystalline Gd2ZrNi at its relaxed geometry (PBE-GGA).

Density of states at the Fermi level = 5.44 states/eV/cell
Energy of formation = -0.085 eV per atom

Unit cell a=3.4356 b=3.4356 c=7.9785 alpha=90.00 beta=90.00 gamma=90.00
With the nearest neighbours (Å) after each atom.
Space group P4/mmm (No. 123)
Symmetry-distinct sites (fractional):
Gd (0.0000, 0.0000, 0.2090) [2 per cell]  4 Ni 2.95
Zr (0.5000, 0.5000, 0.5000) [1 per cell]  8 Gd 3.36, 4 Zr 3.44
Ni (0.5000, 0.5000, 0.0000) [1 per cell]  8 Gd 2.95

***

Entry 5:
Entry from the Alexandria database: crystalline Be2CoOs2 at its relaxed geometry (PBE-GGA).

Density of states at the Fermi level = 11.80 states/eV/cell
Energy of formation = 0.323 eV per atom

Unit cell a=6.5065 b=6.5065 c=2.7836 alpha=90.00 beta=90.00 gamma=90.00
With the nearest neighbours (Å) after each atom.
Space group P4/mbm (No. 127)
Symmetry-distinct sites (fractional):
Be (0.1614, 0.3386, 0.0000) [4 per cell]  6 Os 2.32-2.39
Co (0.0000, 0.0000, 0.5000) [2 per cell]  4 Os 2.53, 2 Co 2.78, 8 Be 2.81
Os (0.1362, 0.6362, 0.5000) [4 per cell]  6 Be 2.32-2.39, 1 Os 2.51, 2 Co 2.53

***

Entry 6:
Entry from the Alexandria database: crystalline TiV2AsCl at its relaxed geometry (PBE-GGA).

Density of states at the Fermi level = 4.53 states/eV/cell
E_form (uncorrected) = 0.3340 eV per atom

Unit cell a=4.2485 b=4.2485 c=4.4365 alpha=90.00 beta=90.00 gamma=90.00
With the nearest neighbours (Å) after each atom.
Space group P4/mmm (No. 123)
Symmetry-distinct sites (fractional):
Ti (0.0000, 0.0000, 0.0000) [1 per cell]  2 Cl 2.22
V (0.0000, 0.5000, 0.5000) [2 per cell]  2 Cl 2.12
As (0.5000, 0.5000, 0.0000) [1 per cell]  4 Ti 3.00, 8 V 3.07
Cl (0.0000, 0.0000, 0.5000) [1 per cell]  4 V 2.12, 2 Ti 2.22

***

Entry 7:
Entry from the Alexandria database: crystalline TbSm2Cd2Ag2 at its relaxed geometry (PBE-GGA).

Density of states at the Fermi level = 18.32 states/eV/cell
Energy of formation = -0.181 eV per atom

Unit cell a=4.8974 b=4.8974 c=26.1915 alpha=90.00 beta=90.00 gamma=120.00
With the nearest neighbours (Å) after each atom.
Space group R-3m (No. 166, hexagonal axes)
Symmetry-distinct sites (fractional):
Tb (0.0000, 0.0000, 0.0000) [3 per cell]  2 Sm 3.25, 6 Ag 3.26, 6 Cd 3.33
Sm (0.0000, 0.0000, 0.1241) [6 per cell]  3 Cd 3.19, 1 Tb 3.25, 3 Ag 3.26
Cd (0.0000, 0.0000, 0.2660) [6 per cell]  3 Ag 2.83
Ag (0.0000, 0.0000, 0.3955) [6 per cell]  3 Cd 2.83

***

Entry 8:
Entry from the Alexandria database: crystalline Ba4Ca6Br19 at its relaxed geometry (PBE-GGA).

Density of states at the Fermi level = 12.99 states/eV/cell
E_form (uncorrected) = -2.0094 eV per atom

Unit cell a=12.4975 b=12.4975 c=12.4975 alpha=90.00 beta=90.00 gamma=90.00
With the nearest neighbours (Å) after each atom.
Space group I23 (No. 197)
Symmetry-distinct sites (fractional):
Ba (0.1621, 0.1621, 0.8379) [8 per cell]  10 Br 3.48-3.71
Ca (0.0000, 0.3367, 0.5000) [12 per cell]  6 Br 2.86-2.96
Br (0.0000, 0.0000, 0.0000) [2 per cell]  4 Ba 3.51
Br (0.0000, 0.0000, 0.3287) [12 per cell]  2 Ca 2.96
Br (0.0667, 0.3075, 0.2827) [24 per cell]  2 Ca 2.86-2.95

***

Entry 9:
Entry from the Alexandria database: crystalline PmSc2Pd8 at its relaxed geometry (PBE-GGA).

Density of states at the Fermi level = 11.72 states/eV/cell
Energy of formation = -0.744 eV per atom

Unit cell a=14.6969 b=4.1048 c=6.6490 alpha=90.00 beta=107.70 gamma=90.00
With the nearest neighbours (Å) after each atom.
Space group C2/m (No. 12)
Symmetry-distinct sites (fractional):
Pm (0.0000, 0.0000, 0.0000) [2 per cell]  12 Pd 2.90-3.00
Sc (0.2202, 0.5000, 0.6661) [4 per cell]  9 Pd 2.72-2.94
Pd (0.0429, 0.5000, 0.7136) [4 per cell]  1 Sc 2.72, 8 Pd 2.73-3.02, 2 Pm 2.99
Pd (0.0978, 0.0000, 0.4634) [4 per cell]  3 Sc 2.79-3.05, 8 Pd 2.87-3.06, 1 Pm 2.98
Pd (0.1479, 0.5000, 0.2025) [4 per cell]  3 Sc 2.78-2.94, 6 Pd 2.83-3.02, 2 Pm 3.00
Pd (0.1821, 0.0000, 0.9136) [4 per cell]  3 Sc 2.73-2.79, 8 Pd 2.83-2.96, 1 Pm 2.90

***

Entry 10:
Entry from the Alexandria database: crystalline CaHoErAl at its relaxed geometry (PBE-GGA).

Density of states at the Fermi level = 11.46 states/eV/cell
Energy of formation = -0.037 eV per atom

Unit cell a=7.5753 b=7.5753 c=7.5753 alpha=90.00 beta=90.00 gamma=90.00
With the nearest neighbours (Å) after each atom.
Space group F-43m (No. 216)
Symmetry-distinct sites (fractional):
Ca (0.0000, 0.0000, 0.0000) [4 per cell]  4 Ho 3.28, 4 Er 3.28
Ho (0.2500, 0.2500, 0.7500) [4 per cell]  4 Al 3.28, 4 Ca 3.28
Er (0.2500, 0.2500, 0.2500) [4 per cell]  4 Ca 3.28, 4 Al 3.28
Al (0.0000, 0.0000, 0.5000) [4 per cell]  4 Er 3.28, 4 Ho 3.28

***

Entry 11:
Entry from the Alexandria database: crystalline TlFe2Co2 at its relaxed geometry (PBE-GGA).

Density of states at the Fermi level = 9.08 states/eV/cell
Energy of formation = 0.377 eV per atom

Unit cell a=7.0840 b=7.0840 c=2.8189 alpha=90.00 beta=90.00 gamma=90.00
With the nearest neighbours (Å) after each atom.
Space group P4/mbm (No. 127)
Symmetry-distinct sites (fractional):
Tl (0.0000, 0.0000, 0.0000) [2 per cell]  4 Fe 2.76, 2 Tl 2.82, 8 Co 3.06
Fe (0.1351, 0.3649, 0.0000) [4 per cell]  6 Co 2.44-2.61, 1 Fe 2.71
Co (0.1461, 0.6461, 0.5000) [4 per cell]  6 Fe 2.44-2.61

***

Entry 12:
Entry from the Alexandria database: crystalline UTl2Se4 at its relaxed geometry (PBE-GGA).

E_form (uncorrected) = -0.7028 eV per atom

Unit cell a=7.4403 b=4.1856 c=8.8399 alpha=90.00 beta=112.33 gamma=90.00
With the nearest neighbours (Å) after each atom.
Space group P2/m (No. 10)
Symmetry-distinct sites (fractional):
U (0.0000, 0.0000, 0.0000) [1 per cell]  6 Se 2.62-2.76
Tl (0.2422, 0.5000, 0.6929) [2 per cell]  3 Se 3.11-3.14
Se (0.0693, 0.0000, 0.3134) [2 per cell]  1 U 2.62
Se (0.2583, 0.5000, 0.0530) [2 per cell]  2 U 2.76